(1)
Material: GdErBeAu
Method: DFT, PBE
State: relaxed

## Properties
* space group: F-43m (216)
* calculated volume: 22.09 A^3/atom

Cell lengths 4.999, 4.999, 4.999 Å; angles 60.00, 60.00, 60.00 degrees
Last column: magnetic moment on the atom in μB.
Fractional positions:
1 Er 0.000 0.000 0.000  0.00
2 Au 0.250 0.250 0.250  0.01
3 Be 0.750 0.750 0.750  0.00
4 Gd 0.500 0.500 0.500  7.00

***

(2)
Material: ErLuBeAu
Method: DFT, PBE
State: relaxed

## Properties
* space group: F-43m (216)
* calculated volume: 20.99 A^3/atom

Cell lengths 4.915, 4.915, 4.915 Å; angles 60.00, 60.00, 60.00 degrees
Fractional positions:
1 Au 0.000 0.000 0.000
2 Er 0.750 0.750 0.750
3 Be 0.500 0.500 0.500
4 Lu 0.250 0.250 0.250

***

(3)
Material: ErBe2Pd2Au
Method: DFT, PBE
State: relaxed

## Properties
* space group: P4/mmm (123)
* calculated volume: 16.94 A^3/atom

Cell lengths 4.273, 4.273, 5.569 Å; angles 90.00, 90.00, 90.00 degrees
Fractional positions:
1 Au 0.000 0.000 0.000
2 Be 0.500 0.000 0.000
3 Pd 0.500 0.500 0.251
4 Pd 0.500 0.500 0.749
5 Er 0.000 0.000 0.500
6 Be 0.000 0.500 0.000

***

(4)
Material: PmErBeAu
Method: DFT, PBE
State: relaxed

## Properties
* space group: F-43m (216)
* calculated volume: 22.67 A^3/atom

Cell lengths 5.043, 5.043, 5.043 Å; angles 60.00, 60.00, 60.00 degrees
Fractional positions:
1 Er 0.250 0.250 0.250
2 Pm 0.750 0.750 0.750
3 Au 0.000 0.000 0.000
4 Be 0.500 0.500 0.500

***

| no. | total energy (eV per atom) | total magnetization (μB/f.u.) |
| --- | --- | --- |
| 1 | -6.740 | 7.11 |
| 2 | -4.392 | 0.00 |
| 3 | -4.581 | 0.00 |
| 4 | -4.377 | 0.00 |